{
  "formula": "Ta2InAu",
  "functional": "meta-GGA SCAN",
  "state": "PBEsol geometry",
  "lattice_angstrom": [[-2.263, -1.144, 2.506], [-0.920, -2.744, -2.083], [4.139, -3.137, 2.304]],
  "species": ["Au", "In", "Ta", "Ta"],
  "frac_coords": [[0.500, 0.500, 0.000], [0.500, 0.500, 0.500], [0.000, 0.000, 0.760], [0.000, 0.000, 0.240]],
  "delta_e_f_ev_per_fu": 0.62,
  "m_tot_mub_per_fu": 0.0,
  "n_ef_per_ev_fu": 3.29,
  "spacegroup": "P4/mmm (123)"
}